No. 1
A relaxed HoMgScMo crystal. Source: Alexandria, functional GGA-PBE.

a = 4.9489 Å, b = 4.9489 Å, c = 4.9489 Å
α = 60.00°, β = 60.00°, γ = 60.00°
Sites, in units of the cell vectors:
Ho 0.0000 0.0000 0.0000
Mg 0.7500 0.7500 0.7500
Sc 0.5000 0.5000 0.5000
Mo 0.2500 0.2500 0.2500

Properties
Size of the total moment   0.00 μB/cell
Total energy   -5.6467 eV/atom
Formation enthalpy at 0 K   187.0 meV per atom

No. 2
A relaxed Ho6Mg2N crystal. Source: Alexandria, functional GGA-PBE.

a = 6.9086 Å, b = 6.9086 Å, c = 6.9253 Å
α = 120.07°, β = 120.07°, γ = 60.28°
Sites, in units of the cell vectors:
Ho 0.2250 0.7375 0.7246
Ho 0.2437 0.2437 0.7810
Ho 0.2625 0.7750 0.2754
Ho 0.7375 0.2250 0.7246
Ho 0.7563 0.7563 0.2190
Ho 0.7750 0.2625 0.2754
Mg 0.2503 0.2503 0.2504
Mg 0.7497 0.7497 0.7496
N 0.0000 0.0000 0.5000

Properties
Size of the total moment   0.00 μB/cell
Total energy   -4.6947 eV/atom

No. 3
A relaxed Ho4Mg2N crystal. Source: Alexandria, functional GGA-PBE.

a = 8.5426 Å, b = 8.5426 Å, c = 8.5426 Å
α = 147.03°, β = 147.03°, γ = 47.31°
Sites, in units of the cell vectors:
Ho 0.0000 0.5000 0.5000
Ho 0.1494 0.1494 0.0000
Ho 0.5000 0.0000 0.5000
Ho 0.8506 0.8506 0.0000
Mg 0.3626 0.3626 0.0000
Mg 0.6374 0.6374 0.0000
N 0.0000 0.0000 0.0000

Properties
Size of the total moment   0.00 μB/cell
Total energy   -4.5984 eV/atom

No. 4
A relaxed Ho2MgN crystal. Source: Alexandria, functional GGA-PBE.

a = 8.5045 Å, b = 8.5045 Å, c = 8.5045 Å
α = 23.52°, β = 23.52°, γ = 23.52°
Sites, in units of the cell vectors:
Ho 0.2205 0.2205 0.2205
Ho 0.7795 0.7795 0.7795
Mg 0.0000 0.0000 0.0000
N 0.5000 0.5000 0.5000

Properties
Size of the total moment   0.15 μB/cell
Total energy   -5.6002 eV/atom

No. 5
A relaxed HoMg2NpN4 crystal. Source: Alexandria, functional GGA-PBE.

a = 5.5432 Å, b = 3.3848 Å, c = 5.8135 Å
α = 90.00°, β = 109.62°, γ = 90.00°
Sites, in units of the cell vectors:
Ho 0.0000 0.0000 0.0000
Mg 0.5000 0.0000 0.5000
Mg 0.5000 0.5000 0.0000
Np 0.0000 0.5000 0.5000
N 0.2339 0.5000 0.2687
N 0.2486 0.0000 0.7420
N 0.7514 0.0000 0.2580
N 0.7661 0.5000 0.7313

Properties
Size of the total moment   2.00 μB/cell
Total energy   -7.8842 eV/atom

No. 6
A relaxed Ho2MgPaN4 crystal. Source: Alexandria, functional GGA-PBE.

a = 5.7769 Å, b = 3.4631 Å, c = 5.9119 Å
α = 90.00°, β = 108.23°, γ = 90.00°
Sites, in units of the cell vectors:
Ho 0.0000 0.0000 0.0000
Ho 0.5000 0.5000 0.0000
Mg 0.0000 0.5000 0.5000
Pa 0.5000 0.0000 0.5000
N 0.2527 0.5000 0.2566
N 0.2626 0.0000 0.7409
N 0.7374 0.0000 0.2591
N 0.7473 0.5000 0.7434

Properties
Size of the total moment   0.00 μB/cell
Total energy   -8.1780 eV/atom

No. 7
A relaxed HoPuMg2N4 crystal. Source: Alexandria, functional GGA-PBE.

a = 5.5398 Å, b = 3.3815 Å, c = 5.7983 Å
α = 90.00°, β = 109.69°, γ = 90.00°
Sites, in units of the cell vectors:
Ho 0.0000 0.0000 0.0000
Pu 0.0000 0.5000 0.5000
Mg 0.5000 0.0000 0.5000
Mg 0.5000 0.5000 0.0000
N 0.2352 0.5000 0.2688
N 0.2484 0.0000 0.7424
N 0.7516 0.0000 0.2576
N 0.7648 0.5000 0.7312

Properties
Size of the total moment   3.00 μB/cell
Total energy   -8.0202 eV/atom

No. 8
A relaxed Ho2PuMgN4 crystal. Source: Alexandria, functional GGA-PBE.

a = 5.7680 Å, b = 3.4459 Å, c = 5.8260 Å
α = 90.00°, β = 107.96°, γ = 90.00°
Sites, in units of the cell vectors:
Ho 0.0000 0.0000 0.0000
Ho 0.5000 0.5000 0.0000
Pu 0.0000 0.5000 0.5000
Mg 0.5000 0.0000 0.5000
N 0.2360 0.5000 0.2586
N 0.2498 0.0000 0.7466
N 0.7502 0.0000 0.2534
N 0.7640 0.5000 0.7414

Properties
Size of the total moment   3.99 μB/cell
Total energy   -8.6289 eV/atom

No. 9
A relaxed HoMg2TaN4 crystal. Source: Alexandria, functional GGA-PBE.

a = 5.4801 Å, b = 3.2171 Å, c = 5.6436 Å
α = 90.00°, β = 109.97°, γ = 90.00°
Sites, in units of the cell vectors:
Ho 0.0000 0.0000 0.0000
Mg 0.5000 0.0000 0.5000
Mg 0.5000 0.5000 0.0000
Ta 0.0000 0.5000 0.5000
N 0.2358 0.0000 0.7272
N 0.2388 0.5000 0.2746
N 0.7612 0.5000 0.7254
N 0.7642 0.0000 0.2728

Properties
Size of the total moment   0.00 μB/cell
Total energy   -7.7827 eV/atom

No. 10
A relaxed TbHo2MgN crystal. Source: Alexandria, functional GGA-PBE.

a = 4.8337 Å, b = 4.8337 Å, c = 4.9171 Å
α = 90.00°, β = 90.00°, γ = 90.00°
Sites, in units of the cell vectors:
Tb 0.0000 0.0000 0.0000
Ho 0.0000 0.5000 0.5000
Ho 0.5000 0.0000 0.5000
Mg 0.5000 0.5000 0.0000
N 0.0000 0.0000 0.5000

Properties
Size of the total moment   0.00 μB/cell
Total energy   -5.4510 eV/atom

No. 11
A relaxed Ho2MgUN4 crystal. Source: Alexandria, functional GGA-PBE.

a = 5.7454 Å, b = 3.4310 Å, c = 5.8610 Å
α = 90.00°, β = 108.00°, γ = 90.00°
Sites, in units of the cell vectors:
Ho 0.0000 0.0000 0.0000
Ho 0.5000 0.5000 0.0000
Mg 0.0000 0.5000 0.5000
U 0.5000 0.0000 0.5000
N 0.2532 0.5000 0.2591
N 0.2644 0.0000 0.7369
N 0.7356 0.0000 0.2631
N 0.7468 0.5000 0.7409

Properties
Size of the total moment   1.45 μB/cell
Total energy   -8.3216 eV/atom

No. 12
A relaxed YHo2MgN crystal. Source: Alexandria, functional GGA-PBE.

a = 4.8389 Å, b = 4.8389 Å, c = 4.8950 Å
α = 90.00°, β = 90.00°, γ = 90.00°
Sites, in units of the cell vectors:
Y 0.0000 0.0000 0.0000
Ho 0.0000 0.5000 0.5000
Ho 0.5000 0.0000 0.5000
Mg 0.5000 0.5000 0.0000
N 0.0000 0.0000 0.5000

Properties
Size of the total moment   0.00 μB/cell
Total energy   -5.8258 eV/atom